[1]
# TbPm2Nd2Mg

Crystalline TbPm2Nd2Mg at its relaxed geometry (GGA-PBE, Alexandria via LeMat-Bulk).

Cell and atoms, written as CIF:
```
data_TbPm2Nd2Mg
_symmetry_space_group_name_H-M 'I b a m'
_symmetry_Int_Tables_number 72
_symmetry_space_group_name_Hall '-I 2 2c'
_cell_length_a 6.856
_cell_length_b 18.047
_cell_length_c 6.466
_cell_angle_alpha 90.00
_cell_angle_beta 90.00
_cell_angle_gamma 90.00
loop_
_atom_site_label
_atom_site_type_symbol
_atom_site_fract_x
_atom_site_fract_y
_atom_site_fract_z
Tb1 Tb 0.000 0.000 0.250
Pm1 Pm 0.154 0.348 0.000
Nd1 Nd 0.160 0.152 0.000
Mg1 Mg 0.000 0.500 0.250
```

Properties
ΔE_f (kJ/mol of atoms): 17
Magnetic moment (Bohr magnetons per cell): 0.00

=====

[2]
# K2TlTc

Crystalline K2TlTc at its relaxed geometry (GGA-PBE, Alexandria via LeMat-Bulk).

Cell and atoms, written as CIF:
```
data_K2TlTc
_symmetry_space_group_name_H-M 'I 4/m m m'
_symmetry_Int_Tables_number 139
_symmetry_space_group_name_Hall '-I 4 2'
_cell_length_a 4.383
_cell_length_b 4.383
_cell_length_c 11.626
_cell_angle_alpha 90.00
_cell_angle_beta 90.00
_cell_angle_gamma 90.00
loop_
_atom_site_label
_atom_site_type_symbol
_atom_site_fract_x
_atom_site_fract_y
_atom_site_fract_z
K1 K 0.000 0.500 0.250
Tl1 Tl 0.000 0.000 0.000
Tc1 Tc 0.000 0.000 0.500
```

Properties
Distance to the lowest polymorph of the same formula (kcal/mol of atoms): 6.34
ΔE_f (kJ/mol of atoms): 91
Magnetic moment (Bohr magnetons per cell): 4.15

=====

[3]
# ErCd6Ag

Crystalline ErCd6Ag at its relaxed geometry (GGA-PBE, Alexandria via LeMat-Bulk).

Cell and atoms, written as CIF:
```
data_ErCd6Ag
_symmetry_space_group_name_H-M 'P 4/m m m'
_symmetry_Int_Tables_number 123
_symmetry_space_group_name_Hall '-P 4 2'
_cell_length_a 4.633
_cell_length_b 4.633
_cell_length_c 8.233
_cell_angle_alpha 90.00
_cell_angle_beta 90.00
_cell_angle_gamma 90.00
loop_
_atom_site_label
_atom_site_type_symbol
_atom_site_fract_x
_atom_site_fract_y
_atom_site_fract_z
Er1 Er 0.000 0.000 0.000
Cd1 Cd 0.000 0.500 0.264
Cd2 Cd 0.500 0.500 0.000
Cd3 Cd 0.500 0.500 0.500
Ag1 Ag 0.000 0.000 0.500
```

Properties
Distance to the lowest polymorph of the same formula (kcal/mol of atoms): 0.00
ΔE_f (kJ/mol of atoms): -13
Magnetic moment (Bohr magnetons per cell): 0.00

=====

[4]
# PuGa4

Crystalline PuGa4 at its relaxed geometry (GGA-PBE, Alexandria via LeMat-Bulk).

Cell and atoms, written as CIF:
```
data_PuGa4
_symmetry_space_group_name_H-M 'P 4/m b m'
_symmetry_Int_Tables_number 127
_symmetry_space_group_name_Hall '-P 4 2ab'
_cell_length_a 9.385
_cell_length_b 9.385
_cell_length_c 5.334
_cell_angle_alpha 90.00
_cell_angle_beta 90.00
_cell_angle_gamma 90.00
loop_
_atom_site_label
_atom_site_type_symbol
_atom_site_fract_x
_atom_site_fract_y
_atom_site_fract_z
Pu1 Pu 0.134 0.366 0.000
Ga1 Ga 0.000 0.000 0.220
Ga2 Ga 0.098 0.598 0.500
Ga3 Ga 0.106 0.199 0.500
```

Properties
ΔE_f (kJ/mol of atoms): 8
Magnetic moment (Bohr magnetons per cell): 23.57

=====

[5]
# Li2NiSb2Pt

Crystalline Li2NiSb2Pt at its relaxed geometry (GGA-PBE, Alexandria via LeMat-Bulk).

Cell and atoms, written as CIF:
```
data_Li2NiSb2Pt
_symmetry_space_group_name_H-M 'I b a m'
_symmetry_Int_Tables_number 72
_symmetry_space_group_name_Hall '-I 2 2c'
_cell_length_a 5.878
_cell_length_b 12.681
_cell_length_c 5.794
_cell_angle_alpha 90.00
_cell_angle_beta 90.00
_cell_angle_gamma 90.00
loop_
_atom_site_label
_atom_site_type_symbol
_atom_site_fract_x
_atom_site_fract_y
_atom_site_fract_z
Li1 Li 0.238 0.143 0.000
Ni1 Ni 0.000 0.500 0.250
Sb1 Sb 0.224 0.367 0.000
Pt1 Pt 0.000 0.000 0.250
```

Properties
Final energy (Ry/atom): -0.3276
Magnetic moment (Bohr magnetons per cell): 0.00

=====

[6]
# Cd2N2Cl3

Crystalline Cd2N2Cl3 at its relaxed geometry (GGA-PBE, Alexandria via LeMat-Bulk).

Cell and atoms, written as CIF:
```
data_Cd2N2Cl3
_symmetry_space_group_name_H-M 'P -1'
_symmetry_Int_Tables_number 2
_symmetry_space_group_name_Hall '-P 1'
_cell_length_a 3.976
_cell_length_b 7.223
_cell_length_c 7.972
_cell_angle_alpha 85.99
_cell_angle_beta 83.05
_cell_angle_gamma 74.03
loop_
_atom_site_label
_atom_site_type_symbol
_atom_site_fract_x
_atom_site_fract_y
_atom_site_fract_z
Cd1 Cd 0.121 0.225 0.065
N1 N 0.052 0.535 0.547
Cl1 Cl 0.302 0.995 0.795
Cl2 Cl 0.500 0.500 0.000
```

Properties
Final energy (Ry/atom): -0.2911
Magnetic moment (Bohr magnetons per cell): 0.00

=====

Repeat the first record exactly.
# TbPm2Nd2Mg

Crystalline TbPm2Nd2Mg at its relaxed geometry (GGA-PBE, Alexandria via LeMat-Bulk).

Cell and atoms, written as CIF:
```
data_TbPm2Nd2Mg
_symmetry_space_group_name_H-M 'I b a m'
_symmetry_Int_Tables_number 72
_symmetry_space_group_name_Hall '-I 2 2c'
_cell_length_a 6.856
_cell_length_b 18.047
_cell_length_c 6.466
_cell_angle_alpha 90.00
_cell_angle_beta 90.00
_cell_angle_gamma 90.00
loop_
_atom_site_label
_atom_site_type_symbol
_atom_site_fract_x
_atom_site_fract_y
_atom_site_fract_z
Tb1 Tb 0.000 0.000 0.250
Pm1 Pm 0.154 0.348 0.000
Nd1 Nd 0.160 0.152 0.000
Mg1 Mg 0.000 0.500 0.250
```

Properties
ΔE_f (kJ/mol of atoms): 17
Magnetic moment (Bohr magnetons per cell): 0.00

=====

- Which of these has the highest magnetic moment?
  PuGa4